The following is a PBE calculation of a relaxed Nd2ScCrS6 crystal, from the Alexandria database.

Properties
**Formation energy from raw total energies**: -1.683 eV per atom
**Uncorrected energy**: -6.7090 eV per atom

```
Nd2ScCrS6
1.0
-1.168 -5.657 2.744
6.876 -0.828 1.220
-0.935 4.384 8.245
Nd S Sc Cr
4 12 2 2
Cartesian
-1.146 -2.225 8.962
1.982 -1.839 3.836
5.919 0.125 3.246
2.792 -0.261 8.372
2.418 2.275 7.157
-0.787 -2.373 3.859
0.499 -0.006 10.065
5.561 0.273 8.350
3.680 -1.208 11.038
3.987 -0.482 5.411
4.155 -2.842 7.803
0.619 0.742 4.405
2.356 -4.376 5.051
1.094 -0.892 1.171
4.275 -2.094 2.143
0.787 -1.618 6.797
-0.584 -2.828 1.372
2.971 1.778 4.732
3.438 -0.414 0.610
-1.051 -0.636 5.494
```


The following is a PBE calculation of a relaxed Rb4BaF6 crystal, from the Alexandria database.

Properties
**Formation energy from raw total energies**: -2.918 eV per atom
**Uncorrected energy**: -4.4649 eV per atom

```
Rb4BaF6
1.0
8.178 -0.055 -0.014
0.013 8.179 -0.014
0.055 0.055 8.178
Ba F Rb
2 12 8
Cartesian
0.000 0.000 0.000
4.123 4.089 4.076
7.677 5.692 7.799
4.669 3.711 1.588
1.633 3.540 3.723
6.614 4.638 4.428
3.766 6.575 3.509
7.860 0.549 5.677
0.387 7.630 2.474
5.695 0.323 0.553
0.570 2.486 0.353
4.481 1.603 4.642
3.578 4.467 6.563
2.552 7.855 7.598
2.089 2.072 6.127
3.368 0.728 2.038
6.189 3.361 7.426
0.779 6.161 4.814
4.879 7.451 6.113
2.057 4.817 0.725
6.158 6.107 2.024
7.468 2.017 3.337
```


The following is a PBE calculation of a relaxed NdHo3Sc2Te6 crystal, from the Alexandria database.

Properties
**Formation energy from raw total energies**: -1.218 eV per atom
**Uncorrected energy**: -5.3863 eV per atom

```
NdHo3Sc2Te6
1.0
4.293 0.000 0.000
0.000 8.653 0.365
-2.147 -2.433 9.061
Ho Te Nd Sc
3 6 1 2
Cartesian
0.000 6.436 3.158
2.147 4.326 0.183
2.147 -0.216 6.269
2.147 3.982 9.217
0.000 2.238 0.210
2.147 -0.017 3.190
0.000 6.237 6.236
0.000 2.046 6.116
2.147 4.173 3.311
2.147 0.000 0.000
0.000 2.058 3.079
2.147 4.162 6.347
```


The following is a PBE calculation of a relaxed PrThZn crystal, from the Alexandria database.

Properties
**Uncorrected energy**: -4.5952 eV per atom

```
PrThZn
1.0
-0.034 0.187 3.687
-3.619 -0.731 0.003
3.065 -5.859 -1.523
Th Zn Pr
1 1 1
Cartesian
0.778 -3.852 0.202
-1.410 -2.337 1.954
0.043 -0.214 0.011
```


The following is a PBE calculation of a relaxed CrPt2 crystal, from the Alexandria database.

Properties
**Uncorrected energy**: -7.4521 eV per atom

```
CrPt2
1.0
3.794 0.000 0.000
1.897 5.955 0.000
0.000 0.000 3.939
Pt Cr
4 2
Cartesian
1.897 0.923 2.954
3.794 5.033 0.985
3.794 3.012 2.954
1.897 2.943 0.985
3.794 1.058 0.985
1.897 4.897 2.954
```


The following is a PBE calculation of a relaxed Sr2MgSn4Pt3 crystal, from the Alexandria database.

Properties
**Uncorrected energy**: -4.6251 eV per atom

```
Sr2MgSn4Pt3
1.0
-0.043 0.701 -4.568
1.815 -4.198 -0.661
-10.451 -4.426 -0.581
Sr Sn Pt Mg
2 4 3 1
Cartesian
-2.618 -0.749 -2.428
-6.946 -5.426 -0.767
0.000 0.000 0.000
-2.852 -3.692 -0.540
0.886 -1.749 -2.615
-6.713 -2.484 -2.656
-5.225 -2.213 -0.291
-0.400 -2.653 -0.403
-9.165 -3.522 -2.792
-4.339 -3.962 -2.905
```


The following is a PBE calculation of a relaxed AgAuI2N crystal, from the Alexandria database.

Properties
**Formation energy from raw total energies**: 1.090 eV per atom
**Uncorrected energy**: -2.4210 eV per atom

```
AgAuI2N
1.0
-0.288 4.731 3.300
-5.457 0.847 -1.689
-1.328 -2.277 3.148
N Au Ag I
1 1 1 2
Cartesian
-0.664 -1.138 1.574
-3.536 1.650 2.379
0.000 0.000 0.000
-0.144 2.365 1.650
-2.729 0.423 -0.845
```


The following is a PBE calculation of a relaxed ScPPt2 crystal, from the Alexandria database.

Properties
**Uncorrected energy**: -6.6279 eV per atom

```
ScPPt2
1.0
-3.551 -3.425 1.886
-1.897 -1.297 4.716
-3.475 1.670 0.642
Pt Sc P
2 1 1
Cartesian
-1.775 -1.713 0.943
-2.686 0.187 2.679
0.000 0.000 0.000
-4.461 -1.526 3.622
```


The following is a PBE calculation of a relaxed PuCuTe3 crystal, from the Alexandria database.

Properties
**Formation energy from raw total energies**: -0.538 eV per atom
**Uncorrected energy**: -6.1082 eV per atom

```
PuCuTe3
1.0
6.120 -0.002 0.009
-0.002 6.120 -0.011
0.021 -0.022 14.567
Cu Pu Te
4 4 12
Cartesian
3.018 4.626 -0.002
3.121 1.470 14.567
0.060 4.529 14.558
6.079 1.567 0.007
1.537 -0.007 9.752
4.602 6.103 4.813
4.596 3.052 9.750
1.543 3.044 4.815
1.526 0.005 13.056
4.604 3.042 4.008
4.613 6.091 1.509
3.069 4.578 7.280
4.585 3.064 13.054
1.554 3.032 1.511
0.010 1.519 7.281
1.535 3.054 10.557
6.128 4.577 7.284
3.070 1.518 7.285
4.596 -0.006 10.567
1.543 6.102 3.998
```


The following is a PBE calculation of a relaxed NbRe2B crystal, from the Alexandria database.

Properties
**Uncorrected energy**: -9.7633 eV per atom

```
NbRe2B
1.0
3.781 0.000 0.000
0.000 3.781 0.000
1.891 1.891 8.662
Re Nb B
4 2 2
Cartesian
1.166 2.836 2.165
4.727 4.506 6.496
2.615 0.945 2.165
2.836 3.057 6.496
3.781 1.891 4.331
0.000 0.000 0.000
1.891 3.781 4.331
1.891 1.891 0.000
```


The following is a PBE calculation of a relaxed Mn3WI crystal, from the Alexandria database.

Properties
**Formation energy from raw total energies**: 2.010 eV per atom
**Uncorrected energy**: -6.3922 eV per atom

```
Mn3WI
1.0
4.703 0.000 0.000
0.000 4.703 0.000
0.000 0.000 4.703
W Mn I
1 3 1
Cartesian
2.352 2.352 2.352
2.352 0.000 0.000
0.000 0.000 2.352
0.000 2.352 0.000
0.000 0.000 0.000
```


The following is a PBE calculation of a relaxed CoPtN2 crystal, from the Alexandria database.

Properties
**Formation energy from raw total energies**: 0.390 eV per atom
**Uncorrected energy**: -7.0592 eV per atom

```
CoPtN2
1.0
-1.556 2.102 0.949
0.425 -2.243 1.589
9.949 5.233 4.724
Co Pt N
2 2 4
Cartesian
4.974 2.617 2.362
0.000 0.000 0.000
1.592 1.962 2.343
7.227 3.130 4.919
8.850 3.983 5.690
3.215 2.815 3.114
5.604 2.276 4.148
-0.031 1.108 1.573
```